## TbPr2Tm2 (GGA-PBE)

Data for a geometry-optimized TbPr2Tm2 structure.

Unit cell a=3.5839 b=3.5839 c=14.7118 alpha=90.04 beta=90.04 gamma=59.99
Positions (direct):
Tb1 0.0000 0.0000 0.0000
Pr1 0.3321 0.3321 0.6081
Pr2 0.6679 0.6679 0.3919
Tm1 0.3341 0.3341 0.1933
Tm2 0.6659 0.6659 0.8067

Properties
* E above lowest polymorph: 0 meV/atom
* space group: C2/m
* theoretical density: 7.9 g cm⁻³

=====

## TbPr2Tm6 (GGA-PBE)

Data for a geometry-optimized TbPr2Tm6 structure.

Unit cell a=8.8577 b=8.8577 c=9.0469 alpha=115.98 beta=115.98 gamma=82.50
Positions (direct):
Tb1 0.1724 0.8276 0.7500
Tb2 0.8276 0.1724 0.2500
Pr1 0.2167 0.4013 0.5661
Pr2 0.4013 0.2167 0.0661
Pr3 0.5987 0.7833 0.9339
Pr4 0.7833 0.5987 0.4339
Tm1 0.0065 0.1885 0.6855
Tm2 0.0616 0.3902 0.1393
Tm3 0.1885 0.0065 0.1855
Tm4 0.3351 0.5968 0.0412
Tm5 0.3902 0.0616 0.6393
Tm6 0.4032 0.6649 0.4588
Tm7 0.5968 0.3351 0.5412
Tm8 0.6098 0.9384 0.3607
Tm9 0.6649 0.4032 0.9588
Tm10 0.8115 0.9935 0.8145
Tm11 0.9384 0.6098 0.8607
Tm12 0.9935 0.8115 0.3145

Properties
* E above lowest polymorph: 0 meV/atom
* space group: C2/c
* theoretical density: 8.4 g cm⁻³

=====

## Tb2Pr4Tm5 (GGA-PBE)

Data for a geometry-optimized Tb2Pr4Tm5 structure.

Unit cell a=10.1445 b=10.1445 c=6.3908 alpha=93.60 beta=93.60 gamma=33.27
Positions (direct):
Tb1 0.0979 0.0979 0.0482
Tb2 0.9021 0.9021 0.9518
Pr1 0.1923 0.1923 0.5714
Pr2 0.4674 0.4674 0.2335
Pr3 0.5326 0.5326 0.7665
Pr4 0.8077 0.8077 0.4286
Tm1 0.0000 0.0000 0.5000
Tm2 0.2861 0.2861 0.1044
Tm3 0.3676 0.3676 0.6429
Tm4 0.6324 0.6324 0.3571
Tm5 0.7139 0.7139 0.8956

Properties
* space group: C2/m
* theoretical density: 8.0 g cm⁻³

=====

## Tb4PrTm6 (GGA-PBE)

Data for a geometry-optimized Tb4PrTm6 structure.

Unit cell a=9.6492 b=9.6492 c=9.6492 alpha=140.32 beta=140.32 gamma=57.37
Positions (direct):
Tb1 0.1384 0.1384 0.6247
Tb2 0.4863 0.8616 0.0000
Tb3 0.5137 0.5137 0.3753
Tb4 0.8616 0.4863 0.0000
Pr1 0.5000 0.5000 0.0000
Tm1 0.0000 0.5000 0.5000
Tm2 0.0493 0.6911 0.0000
Tm3 0.3089 0.3089 0.3582
Tm4 0.5000 0.0000 0.5000
Tm5 0.6911 0.0493 0.0000
Tm6 0.9507 0.9507 0.6418

Properties
* E above lowest polymorph: 0 meV/atom
* space group: I-42m
* theoretical density: 8.2 g cm⁻³

=====

Volume (Å³/cell)
164; 572; 360; 363
E_tot (eV per atom)
-4.5941; -4.4831; -4.5083; -4.2322